DFT (GGA-PBE) results for a geometry-optimized NiP2HCl structure.

Computed properties:
* size of the total moment: 0.979 μB per formula unit
* SG: P4/mmm, No. 123
* offset from the most stable computed form: 0.173 eV per atom
* energy: -3.516 eV per atom

abc: 4.2640 4.2640 5.2865
angles: 90.00 90.00 90.00
Last column: nearest neighbours and their distance in Å.
Atoms (fractional coordinates):
Ni 0.0000 0.0000 0.0000  4 P 2.13
P 0.0000 0.5000 0.0000  2 Ni 2.13
P 0.5000 0.0000 0.0000  2 Ni 2.13
H 0.5000 0.5000 0.5000  4 Cl 3.02
Cl 0.0000 0.0000 0.5000  2 Ni 2.64